1.
First-principles (PBE) data for a geometry-optimized Nd8GeRh3Cl4 structure, as listed in Alexandria via LeMat-Bulk.

Computed properties:
- Raw total energy: -5.646 eV per atom
- Space-group type: R-3m, No. 166
- Magnetization: 0.0 μB/cell
- Raw formation energy: -1133 meV per atom

Unit cell a=8.3385 b=8.8265 c=8.3372 alpha=118.21 beta=120.01 gamma=90.00
With the nearest neighbours (Å) after each atom.
Fractional coordinates of all 16 atoms:
Nd 0.2753 0.2913 0.0331  2 Rh 2.82-2.83, 1 Ge 2.93
Cl 0.5000 0.0000 0.0000  6 Nd 3.17
Cl 0.0000 0.0000 0.5000  6 Nd 3.22-3.26
Nd 0.7247 0.7087 0.9669  2 Rh 2.82-2.83, 1 Ge 2.93
Nd 0.2631 0.2898 0.5262  3 Rh 2.86-2.87
Nd 0.7577 0.2913 0.0331  2 Rh 2.82-2.83, 1 Ge 2.93
Nd 0.7369 0.7102 0.4738  3 Rh 2.86-2.87
Nd 0.7578 0.2913 0.5156  2 Rh 2.82, 1 Ge 2.93
Cl 0.0000 0.0000 0.0000  6 Nd 3.22-3.26
Ge 0.0000 0.5000 0.0000  6 Nd 2.93
Nd 0.2422 0.7087 0.4844  2 Rh 2.82, 1 Ge 2.93
Nd 0.2423 0.7087 0.9669  2 Rh 2.82-2.83, 1 Ge 2.93
Rh 0.5000 0.5000 0.0000  6 Nd 2.82-2.87
Rh 0.0000 0.5000 0.5000  6 Nd 2.82-2.86
Rh 0.5000 0.5000 0.5000  6 Nd 2.82-2.86
Cl 0.5000 0.0000 0.5000  6 Nd 3.22-3.26

---

2.
First-principles (PBE) data for a geometry-optimized AlRe2Mo structure, as listed in Alexandria via LeMat-Bulk.

Computed properties:
- E_form: 3 meV per atom
- Raw total energy: -9.865 eV per atom
- Space-group type: R3m, No. 160
- Magnetization: 0.0 μB/cell

Unit cell a=9.1376 b=9.1376 c=9.1376 alpha=17.62 beta=17.62 gamma=17.62
With the nearest neighbours (Å) after each atom.
Fractional coordinates of all 4 atoms:
Al 0.5016 0.5016 0.5016  3 Re 2.75, 6 Al 2.80, 3 Mo 2.80
Mo 0.7501 0.7501 0.7501  6 Mo 2.80, 3 Al 2.80, 3 Re 2.83
Re 0.9974 0.9974 0.9974  9 Re 2.69-2.80, 3 Mo 2.83
Re 0.2509 0.2509 0.2509  9 Re 2.69-2.80, 3 Al 2.75

---

Question: Among the records above, which one has the highest raw total energy?
Answer: Nd8GeRh3Cl4